Material: ZrTeN2Cl
Method: DFT, PBE
State: optimized geometry

Computed properties:
**Energy relative to the elements, uncorrected**: 0.4333 eV per atom
**Mass density**: 4.34 Mg/m³
**Polymorph energy (0 for the lowest one)**: 0 meV/atom
**Crystal system**: tetragonal
**Size of the total moment**: 0.085 μB/f.u.

Lattice parameters (Å, degrees): 4.1493 4.1493 6.2749 90.00 90.00 90.00
Element x y z (fractional)
Zr (0.0000, 0.0000, 0.0000)
Te (0.0000, 0.0000, 0.5000)
N (0.0000, 0.5000, 0.0000)
N (0.5000, 0.0000, 0.0000)
Cl (0.5000, 0.5000, 0.5000)